# Cd2NiS

A geometry-optimized Cd2NiS structure (PBE-GGA, Alexandria via LeMat-Bulk).

It has space group I-42d (No. 122), with a = 6.683 Å, b = 6.683 Å, c = 8.323 Å, α = 90.00°, β = 90.00° and γ = 90.00°. The distinct sites, in fractional coordinates, are Cd at (0.250, 0.250, 0.125), Ni at (0.000, 0.000, 0.000) and S at (0.000, 0.000, 0.500).

The total DFT energy (no corrections) comes out at -2.63 eV per atom.

---

# Hf4HPt2

A geometry-optimized Hf4HPt2 structure (PBE-GGA, Alexandria via LeMat-Bulk).

It has space group C2/m (No. 12), with a = 14.113 Å, b = 3.306 Å, c = 5.818 Å, α = 90.00°, β = 113.12° and γ = 90.00°. The distinct sites, in fractional coordinates, are Hf at (0.078, 0.000, 0.255), Hf at (0.123, 0.500, 0.804), H at (0.000, 0.000, 0.500) and Pt at (0.241, 0.500, 0.296).

The total DFT energy (no corrections) comes out at -8.42 eV per atom.

---

# NaSO3F

A geometry-optimized NaSO3F structure (PBE-GGA, Alexandria via LeMat-Bulk).

It has space group P-3m1 (No. 164), with a = 5.5546 Å, b = 5.5546 Å, c = 6.7687 Å, α = 90.00°, β = 90.00° and γ = 120.00°. The distinct sites, in fractional coordinates, are Na at (0.0000, 0.0000, 0.0000), Na at (0.0000, 0.0000, 0.5000), S at (0.3333, 0.6667, 0.2811), O at (0.1858, 0.3717, 0.2359) and F at (0.3333, 0.6667, 0.5221).

The total DFT energy (no corrections) comes out at -5.47 eV per atom.

---

# PmMgPd3

A geometry-optimized PmMgPd3 structure (PBE-GGA, Alexandria via LeMat-Bulk).

It has space group I4mm (No. 107), with a = 4.169 Å, b = 4.169 Å, c = 11.801 Å, α = 90.00°, β = 90.00° and γ = 90.00°. The distinct sites, in fractional coordinates, are Pm at (0.000, 0.000, 0.000), Mg at (0.000, 0.000, 0.672), Pd at (0.000, 0.000, 0.458) and Pd at (0.000, 0.500, 0.306).

As for the formation energy from the elements: -614 meV/atom.

---

# La2Tc2Mo

A geometry-optimized La2Tc2Mo structure (PBE-GGA, Alexandria via LeMat-Bulk).

It has space group P4/mbm (No. 127), with a = 6.598 Å, b = 6.598 Å, c = 5.154 Å, α = 90.00°, β = 90.00° and γ = 90.00°. The distinct sites, in fractional coordinates, are La at (0.180, 0.320, 0.000), Tc at (0.133, 0.633, 0.500) and Mo at (0.000, 0.000, 0.500).

As for the formation energy from the elements: 228 meV/atom.

---

# La6Nd10Th

A geometry-optimized La6Nd10Th structure (PBE-GGA, Alexandria via LeMat-Bulk).

It has space group P-31m (No. 162), with a = 9.9278 Å, b = 9.9278 Å, c = 7.2078 Å, α = 90.00°, β = 90.00° and γ = 120.00°. The distinct sites, in fractional coordinates, are La at (0.0000, 0.3728, 0.3026), Nd at (0.0000, 0.2688, 0.8183), Nd at (0.3333, 0.6667, 0.0000), Nd at (0.3333, 0.6667, 0.5000) and Th at (0.0000, 0.0000, 0.5000).

As for the formation energy from the elements: 139 meV/atom.

---

# Li4Ge3

A geometry-optimized Li4Ge3 structure (PBE-GGA, Alexandria via LeMat-Bulk).

It has space group Immm (No. 71), with a = 2.792 Å, b = 4.140 Å, c = 19.010 Å, α = 90.00°, β = 90.00° and γ = 90.00°. The distinct sites, in fractional coordinates, are Li at (0.000, 0.000, 0.071), Li at (0.000, 0.000, 0.209), Ge at (0.000, 0.000, 0.356) and Ge at (0.000, 0.000, 0.500).

As for the formation energy from the elements: -292 meV/atom.

---

# RbLiGeIr2

A geometry-optimized RbLiGeIr2 structure (PBE-GGA, Alexandria via LeMat-Bulk).

It has space group P4/mmm (No. 123), with a = 5.002 Å, b = 5.002 Å, c = 5.418 Å, α = 90.00°, β = 90.00° and γ = 90.00°. The distinct sites, in fractional coordinates, are Rb at (0.000, 0.000, 0.000), Li at (0.500, 0.500, 0.500), Ge at (0.000, 0.000, 0.500) and Ir at (0.000, 0.500, 0.000).

As for the formation energy from the elements: 2457 meV/atom.

---

# Ce3Pu2ZrN6

A geometry-optimized Ce3Pu2ZrN6 structure (PBE-GGA, Alexandria via LeMat-Bulk).

It has space group C2/m (No. 12), with a = 6.021 Å, b = 10.425 Å, c = 6.047 Å, α = 90.00°, β = 109.36° and γ = 90.00°. The distinct sites, in fractional coordinates, are Ce at (0.000, 0.000, 0.000), Ce at (0.000, 0.334, 0.000), Pu at (0.000, 0.167, 0.500), Zr at (0.000, 0.500, 0.500), N at (0.238, 0.338, 0.730) and N at (0.246, 0.500, 0.268).

The total DFT energy (no corrections) comes out at -10.22 eV per atom.

---

# Fe2ReNi

A geometry-optimized Fe2ReNi structure (PBE-GGA, Alexandria via LeMat-Bulk).

It has space group Pmmm (No. 47), with a = 2.770 Å, b = 4.234 Å, c = 4.246 Å, α = 90.00°, β = 90.00° and γ = 90.00°. The distinct sites, in fractional coordinates, are Fe at (0.000, 0.000, 0.000), Fe at (0.500, 0.500, 0.000), Re at (0.000, 0.500, 0.500) and Ni at (0.500, 0.000, 0.500).

As for the formation energy from the elements: 200 meV/atom.

---

# SrHfAs2

A geometry-optimized SrHfAs2 structure (PBE-GGA, Alexandria via LeMat-Bulk).

It has space group R3m (No. 160, hexagonal axes), with a = 3.9998 Å, b = 3.9998 Å, c = 21.7494 Å, α = 90.00°, β = 90.00° and γ = 120.00°. The distinct sites, in fractional coordinates, are Sr at (0.0000, 0.0000, 0.0000), Hf at (0.0000, 0.0000, 0.8291), As at (0.0000, 0.0000, 0.2333) and As at (0.0000, 0.0000, 0.4277).

As for the formation energy from the elements: -1052 meV/atom.

---

# ScPPb

A geometry-optimized ScPPb structure (PBE-GGA, Alexandria via LeMat-Bulk).

It has space group F-43m (No. 216), with a = 6.684 Å, b = 6.684 Å, c = 6.684 Å, α = 90.00°, β = 90.00° and γ = 90.00°. The distinct sites, in fractional coordinates, are Sc at (0.000, 0.000, 0.000), P at (0.250, 0.250, 0.250) and Pb at (0.250, 0.250, 0.750).

As for the formation energy from the elements: -29 meV/atom.